Record 1
DFT (GGA-PBE) results for Na4AlCd3 after structural relaxation.

```
8
Lattice="-2.0277 -4.6746 -0.3148 1.3992 -0.9315 4.8204 -6.3408 2.5928 2.3415" Properties=species:S:1:pos:R:3 pbc="T T T"
Al 0.0000 0.0000 0.0000
Cd -2.5052 -1.7275 0.3933
Cd -3.4847 -1.5066 3.4236
Cd -4.1499 1.5172 4.2010
Na -0.3143 -2.8030 2.2528
Na -0.8730 0.1773 2.9909
Na -3.1704 1.2964 1.1707
Na -5.7821 -0.3875 1.6034
```

Computed properties:
- energy (eV/atom) = -1.50
- V (Å³/cell) = 189
- space group = P-4m2, No. 115

---

Record 2
DFT (GGA-PBE) results for NaAl2Cd2 after structural relaxation.

```
5
Lattice="2.1665 4.0187 5.5425 -3.3930 4.8696 4.0419 -0.2053 -6.5435 -2.9500" Properties=species:S:1:pos:R:3 pbc="T T T"
Al 0.6740 0.9597 3.6923
Al -2.1058 1.3851 2.9420
Cd -0.4842 3.5093 3.7841
Cd -0.7423 5.3791 5.8003
Na 0.0000 0.0000 0.0000
```

Computed properties:
- energy (eV/atom) = -2.07
- V (Å³/cell) = 111
- space group = I4/mmm, No. 139

---

Record 3
DFT (GGA-PBE) results for Na4Al3Cd after structural relaxation.

```
8
Lattice="-3.3310 -3.5322 -1.0011 0.4707 -1.7515 4.6135 -5.2179 4.3064 2.1673" Properties=species:S:1:pos:R:3 pbc="T T T"
Al -3.0107 -0.6559 0.0582
Al -4.0391 -0.4886 2.8899
Al -3.6373 2.3205 3.9153
Cd 0.0000 0.0000 0.0000
Na -1.4301 -2.6418 1.8062
Na -1.0667 0.1989 2.8476
Na -2.6089 2.1532 1.0837
Na -5.5813 1.4657 1.1259
```

Computed properties:
- energy (eV/atom) = -2.10
- V (Å³/cell) = 175
- space group = P-4m2, No. 115